(1)
Compound: CoRe2Se
Source: Alexandria via LeMat-Bulk
Functional: PBE
Structure: relaxed

Energy ... -8.231 eV per atom
Calculated volume ... 14.21 Å³/atom
Calculated density ... 14.9 g/cm³
DOS(E_F) ... 1.1556 states/eV/atom

Cell lengths 4.6436, 4.6436, 4.6436 Å; angles 130.32, 130.32, 72.89 degrees
Last column: nearest neighbours and their distance in Å.
Positions (direct):
Co1 0.7500 0.2500 0.5000  8 Re 2.70-2.76, 4 Se 2.70
Re1 0.0000 0.0000 0.0000  4 Co 2.70, 4 Re 2.70, 4 Se 2.76
Re2 0.2500 0.7500 0.5000  4 Se 2.70, 4 Re 2.70, 4 Co 2.76
Se1 0.5000 0.5000 0.0000  8 Re 2.70-2.76, 4 Co 2.70

(2)
Compound: Co2ReSe
Source: Alexandria via LeMat-Bulk
Functional: PBE
Structure: relaxed

Energy ... -7.091 eV per atom
Calculated volume ... 12.99 Å³/atom
Calculated density ... 12.2 g/cm³
DOS(E_F) ... 1.2256 states/eV/atom

Cell lengths 4.1904, 4.1904, 4.1904 Å; angles 120.11, 120.11, 89.80 degrees
Last column: nearest neighbours and their distance in Å.
Positions (direct):
Co1 0.0000 0.0000 0.0000  4 Se 2.56, 4 Co 2.56
Co2 0.2500 0.7500 0.5000  4 Re 2.56, 4 Co 2.56
Re1 0.5000 0.5000 0.0000  4 Co 2.56, 4 Se 2.56
Se1 0.7500 0.2500 0.5000  4 Re 2.56, 4 Co 2.56

(3)
Compound: Co2ReSe
Source: Alexandria via LeMat-Bulk
Functional: PBE
Structure: relaxed

Energy ... -7.210 eV per atom
Calculated volume ... 13.14 Å³/atom
Calculated density ... 12.1 g/cm³
DOS(E_F) ... 0.9360 states/eV/atom

Cell lengths 3.5467, 2.8316, 5.9405 Å; angles 61.76, 90.00, 90.00 degrees
Last column: nearest neighbours and their distance in Å.
Positions (direct):
Co1 0.0000 0.9813 0.0161  1 Co 2.45, 4 Re 2.58, 4 Se 2.66-2.67
Co2 0.0000 0.5187 0.4839  1 Co 2.45, 4 Re 2.58, 4 Se 2.66-2.67
Re1 0.5000 0.2500 0.2500  8 Co 2.58, 2 Se 2.62, 2 Re 2.83
Se1 0.5000 0.7500 0.7500  2 Re 2.62, 8 Co 2.66-2.67, 2 Se 2.83

(4)
Compound: CoRe2Se
Source: Alexandria via LeMat-Bulk
Functional: PBE
Structure: relaxed

Energy ... -8.079 eV per atom
Calculated volume ... 14.61 Å³/atom
Calculated density ... 14.5 g/cm³
DOS(E_F) ... 1.1894 states/eV/atom

Cell lengths 4.3053, 3.6841, 3.6841 Å; angles 90.00, 90.00, 90.00 degrees
Last column: nearest neighbours and their distance in Å.
Positions (direct):
Co1 0.5000 0.0000 0.5000  4 Se 2.61, 8 Re 2.83
Re1 0.0000 0.0000 0.0000  4 Re 2.61, 4 Co 2.83, 4 Se 2.83
Re2 0.0000 0.5000 0.5000  4 Re 2.61, 4 Co 2.83, 4 Se 2.83
Se1 0.5000 0.5000 0.0000  4 Co 2.61, 8 Re 2.83

(5)
Compound: Co2ReSe
Source: Alexandria via LeMat-Bulk
Functional: PBE
Structure: relaxed

Energy ... -6.814 eV per atom
Calculated volume ... 18.09 Å³/atom
Calculated density ... 8.8 g/cm³
DOS(E_F) ... 1.2628 states/eV/atom

Cell lengths 5.4101, 5.4101, 6.2506 Å; angles 64.36, 64.36, 90.00 degrees
Last column: nearest neighbours and their distance in Å.
Positions (direct):
Re1 0.0000 0.0000 0.0000  4 Co 2.27
Re2 0.7500 0.2500 0.5000  4 Co 2.27
Co1 0.6270 0.1250 0.2500  2 Re 2.27, 2 Se 2.28
Co2 0.1230 0.6250 0.2500  2 Re 2.27, 2 Se 2.28
Co3 0.3750 0.3730 0.7500  2 Re 2.27, 2 Se 2.28
Co4 0.8750 0.8770 0.7500  2 Re 2.27, 2 Se 2.28
Se1 0.5000 0.5000 0.0000  4 Co 2.28
Se2 0.2500 0.7500 0.5000  4 Co 2.28

(6)
Compound: CoRe2Se2
Source: Alexandria via LeMat-Bulk
Functional: PBE
Structure: relaxed

Energy ... -6.841 eV per atom
Calculated volume ... 17.12 Å³/atom
Calculated density ... 11.4 g/cm³
DOS(E_F) ... 0.7861 states/eV/atom

Cell lengths 3.9025, 3.9025, 6.2626 Å; angles 71.85, 71.85, 90.00 degrees
Last column: nearest neighbours and their distance in Å.
Positions (direct):
Re1 0.3912 0.3912 0.2176  1 Re 2.45, 4 Se 2.52
Re2 0.6088 0.6088 0.7824  1 Re 2.45, 4 Se 2.52
Co1 0.0000 0.0000 0.0000  8 Re 3.02
Se1 0.7500 0.2500 0.5000  4 Re 2.52, 4 Se 2.76
Se2 0.2500 0.7500 0.5000  4 Re 2.52, 4 Se 2.76